Record 1
# ErNbFe2 GGA-PBE relaxed
# Theoretical density = 9.7 g/cm³
# Space group = No. 123
# M_tot = 0.4 μB per formula unit
# E_tot = -7.89 eV/atom
data_ErNbFe2
_symmetry_space_group_name_H-M 'P 1'
_symmetry_Int_Tables_number 1
_symmetry_space_group_name_Hall 'P 1'
_cell_length_a 3.122
_cell_length_b 3.122
_cell_length_c 6.564
_cell_angle_alpha 90.00
_cell_angle_beta 90.00
_cell_angle_gamma 90.00
loop_
_atom_site_label
_atom_site_fract_x
_atom_site_fract_y
_atom_site_fract_z
Er1 0.000 0.000 0.000
Nb1 0.000 0.000 0.500
Fe1 0.500 0.500 0.284
Fe2 0.500 0.500 0.716

---

Record 2
# ErNb3Fe8 GGA-PBE relaxed
# Theoretical density = 8.9 g/cm³
# Space group = No. 156
# M_tot = 12.0 μB per formula unit
# E_tot = -8.64 eV/atom
data_ErNb3Fe8
_symmetry_space_group_name_H-M 'P 1'
_symmetry_Int_Tables_number 1
_symmetry_space_group_name_Hall 'P 1'
_cell_length_a 4.898
_cell_length_b 4.898
_cell_length_c 8.006
_cell_angle_alpha 90.00
_cell_angle_beta 90.00
_cell_angle_gamma 120.00
loop_
_atom_site_label
_atom_site_fract_x
_atom_site_fract_y
_atom_site_fract_z
Er1 0.000 0.000 0.000
Nb1 0.000 0.000 0.384
Nb2 0.667 0.333 0.496
Nb3 0.667 0.333 0.864
Fe1 0.166 0.332 0.682
Fe2 0.166 0.834 0.682
Fe3 0.333 0.667 0.438
Fe4 0.333 0.667 0.935
Fe5 0.502 0.004 0.193
Fe6 0.502 0.498 0.193
Fe7 0.668 0.834 0.682
Fe8 0.996 0.498 0.193

---

Record 3
# ErNb2Fe GGA-PBE relaxed
# Theoretical density = 8.8 g/cm³
# Space group = No. 166
# M_tot = 1.4 μB per formula unit
# E_tot = -7.74 eV/atom
data_ErNb2Fe
_symmetry_space_group_name_H-M 'P 1'
_symmetry_Int_Tables_number 1
_symmetry_space_group_name_Hall 'P 1'
_cell_length_a 2.991
_cell_length_b 2.991
_cell_length_c 30.004
_cell_angle_alpha 90.00
_cell_angle_beta 90.00
_cell_angle_gamma 120.00
loop_
_atom_site_label
_atom_site_fract_x
_atom_site_fract_y
_atom_site_fract_z
Er1 0.000 0.000 0.000
Er2 0.333 0.667 0.667
Er3 0.667 0.333 0.333
Nb1 0.000 0.000 0.100
Nb2 0.000 0.000 0.900
Nb3 0.333 0.667 0.566
Nb4 0.333 0.667 0.767
Nb5 0.667 0.333 0.233
Nb6 0.667 0.333 0.434
Fe1 0.000 0.000 0.500
Fe2 0.333 0.667 0.167
Fe3 0.667 0.333 0.833

---

Record 4
# ErNbFe4 GGA-PBE relaxed
# Theoretical density = 9.3 g/cm³
# Space group = No. 216
# M_tot = 6.1 μB per formula unit
# E_tot = -8.18 eV/atom
data_ErNbFe4
_symmetry_space_group_name_H-M 'P 1'
_symmetry_Int_Tables_number 1
_symmetry_space_group_name_Hall 'P 1'
_cell_length_a 4.969
_cell_length_b 4.969
_cell_length_c 4.969
_cell_angle_alpha 60.00
_cell_angle_beta 60.00
_cell_angle_gamma 60.00
loop_
_atom_site_label
_atom_site_fract_x
_atom_site_fract_y
_atom_site_fract_z
Er1 0.000 0.000 0.000
Nb1 0.250 0.250 0.250
Fe1 0.126 0.625 0.625
Fe2 0.625 0.126 0.625
Fe3 0.625 0.625 0.126
Fe4 0.625 0.625 0.625

---

Record 5
# Er3NbFe8 GGA-PBE relaxed
# Theoretical density = 9.6 g/cm³
# Space group = No. 160
# M_tot = 12.9 μB per formula unit
# E_tot = -7.74 eV/atom
data_Er3NbFe8
_symmetry_space_group_name_H-M 'P 1'
_symmetry_Int_Tables_number 1
_symmetry_space_group_name_Hall 'P 1'
_cell_length_a 8.722
_cell_length_b 8.722
_cell_length_c 8.722
_cell_angle_alpha 33.56
_cell_angle_beta 33.56
_cell_angle_gamma 33.56
loop_
_atom_site_label
_atom_site_fract_x
_atom_site_fract_y
_atom_site_fract_z
Er1 0.000 0.000 0.000
Er2 0.126 0.126 0.126
Er3 0.624 0.624 0.624
Nb1 0.500 0.500 0.500
Fe1 0.061 0.061 0.559
Fe2 0.061 0.559 0.061
Fe3 0.067 0.564 0.564
Fe4 0.313 0.313 0.313
Fe5 0.559 0.061 0.061
Fe6 0.564 0.067 0.564
Fe7 0.564 0.564 0.067
Fe8 0.813 0.813 0.813

---

Record 6
# ErNbFe4 GGA-PBE relaxed
# Theoretical density = 9.3 g/cm³
# Space group = No. 164
# M_tot = 6.3 μB per formula unit
# E_tot = -8.19 eV/atom
data_ErNbFe4
_symmetry_space_group_name_H-M 'P 1'
_symmetry_Int_Tables_number 1
_symmetry_space_group_name_Hall 'P 1'
_cell_length_a 4.963
_cell_length_b 4.963
_cell_length_c 8.135
_cell_angle_alpha 90.00
_cell_angle_beta 90.00
_cell_angle_gamma 120.00
loop_
_atom_site_label
_atom_site_fract_x
_atom_site_fract_y
_atom_site_fract_z
Er1 0.333 0.667 0.433
Er2 0.667 0.333 0.567
Nb1 0.333 0.667 0.056
Nb2 0.667 0.333 0.944
Fe1 0.000 0.000 0.000
Fe2 0.000 0.000 0.500
Fe3 0.168 0.335 0.763
Fe4 0.168 0.832 0.763
Fe5 0.335 0.168 0.237
Fe6 0.665 0.832 0.763
Fe7 0.832 0.168 0.237
Fe8 0.832 0.665 0.237

---

Record 7
# ErNb2Fe9 GGA-PBE relaxed
# Theoretical density = 8.7 g/cm³
# Space group = No. 166
# M_tot = 15.7 μB per formula unit
# E_tot = -8.53 eV/atom
data_ErNb2Fe9
_symmetry_space_group_name_H-M 'P 1'
_symmetry_Int_Tables_number 1
_symmetry_space_group_name_Hall 'P 1'
_cell_length_a 8.344
_cell_length_b 8.344
_cell_length_c 8.344
_cell_angle_alpha 34.18
_cell_angle_beta 34.18
_cell_angle_gamma 34.18
loop_
_atom_site_label
_atom_site_fract_x
_atom_site_fract_y
_atom_site_fract_z
Er1 0.000 0.000 0.000
Nb1 0.143 0.143 0.143
Nb2 0.857 0.857 0.857
Fe1 0.083 0.588 0.588
Fe2 0.333 0.333 0.333
Fe3 0.412 0.412 0.917
Fe4 0.412 0.917 0.412
Fe5 0.500 0.500 0.500
Fe6 0.588 0.083 0.588
Fe7 0.588 0.588 0.083
Fe8 0.667 0.667 0.667
Fe9 0.917 0.412 0.412

---

Record 8
# ErNbFeOs GGA-PBE relaxed
# Theoretical density = 12.5 g/cm³
# Space group = No. 216
# M_tot = 0.3 μB per formula unit
# E_tot = -8.65 eV/atom
data_ErNbFeOs
_symmetry_space_group_name_H-M 'P 1'
_symmetry_Int_Tables_number 1
_symmetry_space_group_name_Hall 'P 1'
_cell_length_a 6.458
_cell_length_b 6.458
_cell_length_c 6.458
_cell_angle_alpha 90.00
_cell_angle_beta 90.00
_cell_angle_gamma 90.00
loop_
_atom_site_label
_atom_site_fract_x
_atom_site_fract_y
_atom_site_fract_z
Er1 0.000 0.000 0.000
Er2 0.000 0.500 0.500
Er3 0.500 0.000 0.500
Er4 0.500 0.500 0.000
Nb1 0.000 0.000 0.500
Nb2 0.000 0.500 0.000
Nb3 0.500 0.000 0.000
Nb4 0.500 0.500 0.500
Fe1 0.250 0.250 0.250
Fe2 0.250 0.750 0.750
Fe3 0.750 0.250 0.750
Fe4 0.750 0.750 0.250
Os1 0.250 0.250 0.750
Os2 0.250 0.750 0.250
Os3 0.750 0.250 0.250
Os4 0.750 0.750 0.750

---

> What is the formula in the seventh record?

ErNb2Fe9

---

> What is the formula in the fifth record?

Er3NbFe8